# Tm6ThIn2

A geometry-optimized Tm6ThIn2 structure (PBE, Alexandria).

final energy	-4.547	eV per atom
DFT formation energy	-0.133	eV/atom

a b c (Å): 5.8788 9.5847 9.5847
angles (deg): 72.81 83.45 83.45
Atoms (fractional coordinates):
Tm1 0.5227 0.3278 0.5593
Tm2 0.1656 0.3555 0.1100
Tm3 0.9773 0.4407 0.6722
Tm4 0.4773 0.6722 0.4407
Tm5 0.6656 0.1100 0.3555
Tm6 0.2030 0.9835 0.2542
Tm7 0.8344 0.6445 0.8900
Tm8 0.2970 0.7458 0.0165
Tm9 0.7970 0.0165 0.7458
Tm10 0.0227 0.5593 0.3278
Tm11 0.7030 0.2542 0.9835
Tm12 0.3344 0.8900 0.6445
Th1 0.2500 0.1226 0.8774
Th2 0.7500 0.8774 0.1226
In1 0.9038 0.7907 0.5254
In2 0.4038 0.5254 0.7907
In3 0.5962 0.4746 0.2093
In4 0.0962 0.2093 0.4746